# 1
# YBe2Ag (GGA-PBE, relaxed)
data_YBe2Ag
_chemical_formula_sum 'Y1 Be2 Ag1'
_cell_length_a 3.1281
_cell_length_b 3.1281
_cell_length_c 6.5665
_cell_angle_alpha 90.00
_cell_angle_beta 90.00
_cell_angle_gamma 90.00
_symmetry_space_group_name_H-M 'P 4/m m m'
_symmetry_Int_Tables_number 123
_symmetry_space_group_name_Hall '-P 4 2'
loop_
_atom_site_label
_atom_site_type_symbol
_atom_site_fract_x
_atom_site_fract_y
_atom_site_fract_z
Y1 Y 0.0000 0.0000 0.0000
Be1 Be 0.5000 0.5000 0.3081
Ag1 Ag 0.0000 0.0000 0.5000
# Calculated density ... 5.55 Mg/m³
# DOS(E_F) ... 2.194 states/eV per cell
# Offset from the most stable computed form ... 0.173 eV/atom



# 2
# Ac2TmZn (GGA-PBE, relaxed)
data_Ac2TmZn
_chemical_formula_sum 'Ac6 Tm3 Zn3'
_cell_length_a 3.7552
_cell_length_b 3.7552
_cell_length_c 37.5791
_cell_angle_alpha 90.00
_cell_angle_beta 90.00
_cell_angle_gamma 120.00
_symmetry_space_group_name_H-M 'R -3 m'
_symmetry_Int_Tables_number 166
_symmetry_space_group_name_Hall '-R 3 2"'
loop_
_atom_site_label
_atom_site_type_symbol
_atom_site_fract_x
_atom_site_fract_y
_atom_site_fract_z
Ac1 Ac 0.0000 0.0000 0.0882
Tm1 Tm 0.0000 0.0000 0.5000
Zn1 Zn 0.0000 0.0000 0.0000
# Calculated density ... 7.47 Mg/m³
# DOS(E_F) ... 14.880 states/eV per cell
# Offset from the most stable computed form ... 0.386 eV/atom